A geometry-optimized Pr2TmScTe4 structure, computed with PBE.

```
Pr2TmScTe4
1.0
4.298 0.000 0.000
0.000 7.479 0.138
0.000 -2.610 7.375
Pr Tm Sc Te
2 1 1 4
Cartesian
2.149 -1.305 3.687
0.000 2.434 3.756
2.149 3.739 0.069
0.000 0.000 0.000
2.149 1.185 1.686
2.149 3.684 5.827
0.000 -0.125 5.732
0.000 4.994 1.781
```

Results
* raw formation energy: -124.4 kJ per mole of atoms
* crystal system: monoclinic